Here is a geometry-optimized Pm2MgP structure from the Alexandria database. Energies are from GGA-PBE.

```
Pm2MgP
1.0
4.016 0.000 0.000
2.008 3.478 0.000
2.008 1.159 8.350
P Pm Mg
1 2 1
Cartesian
0.000 0.000 0.000
2.008 1.159 1.627
6.024 3.478 6.723
4.016 2.318 4.175
```

Summary:
The total magnetic moment comes out at 0.00 μB per formula unit. Its space-group type is R-3m (166). For the formation energy, the calculation gives -0.731 eV per atom. Its energy above the most stable polymorph in this dataset is 0 meV/atom. The value obtained for the total energy is -4.86 eV per atom.

---

Here is a geometry-optimized PmMgP2 structure from the Alexandria database. Energies are from GGA-PBE.

```
PmMgP2
1.0
4.859 0.000 0.000
2.429 4.208 0.000
2.429 1.403 3.967
Pm P Mg
1 2 1
Cartesian
0.000 0.000 0.000
7.288 4.208 2.975
2.429 1.403 0.992
4.859 2.805 1.983
```

Summary:
The total magnetic moment comes out at 0.00 μB per formula unit. Its space-group type is Fm-3m (225). For the formation energy, the calculation gives -0.624 eV per atom. Its energy above the most stable polymorph in this dataset is 196 meV/atom. The value obtained for the total energy is -4.92 eV per atom.

---

Which value of energy above the most stable polymorph in this dataset does entry 1 give? 0 meV/atom